## Zn2AgPb (PBE)

Data for Zn2AgPb after structural relaxation.

POSCAR file:
```
Zn2AgPb
1.0
-3.8703 3.8703 2.9457
3.8703 -3.8703 2.9457
3.8703 3.8703 -2.9457
Zn Ag Pb
4 2 2
Direct
0.0958 0.6250 0.9708
0.3750 0.3458 0.4708
0.6542 0.1250 0.0292
0.8750 0.9042 0.5292
0.0000 0.0000 0.0000
0.7500 0.2500 0.5000
0.2500 0.7500 0.5000
0.5000 0.5000 0.0000
```

Computed properties:
As for the formation energy: 232 meV per atom. The calculation puts the magnetic moment at 0.00 μB/f.u.